Version 1
VASP calculation (GGA+U) on a geometry-optimized HoMoO5 structure.

extended XYZ file:
```
14
Lattice="4.511 -3.212 0.000 4.511 3.212 0.000 -3.202 0.000 6.939" Properties=species:S:1:pos:R:3 pbc="T T T"
Ho 2.110 2.873 5.204
Ho 3.711 -2.873 1.735
Mo 4.511 0.000 0.000
Mo 2.910 0.000 3.469
O 4.298 1.889 0.276
O 3.123 1.889 3.193
O 1.211 0.114 2.661
O -0.389 -0.114 6.130
O 2.110 0.516 5.204
O 3.711 -0.516 1.735
O 6.210 0.114 0.808
O 4.609 -0.114 4.278
O 2.697 -1.889 3.746
O 1.523 -1.889 6.663
```

Computed properties:
theoretical density	5.63	g cm⁻³

Version 2
VASP calculation (GGA+U) on a geometry-optimized HoMoO5 structure.

extended XYZ file:
```
28
Lattice="5.307 0.000 0.000 0.000 12.547 0.000 -3.009 0.000 6.184" Properties=species:S:1:pos:R:3 pbc="T T T"
Ho -0.100 0.681 1.789
Ho -1.604 5.593 4.882
Ho 3.903 6.955 1.303
Ho 2.398 11.866 4.395
Mo -0.419 1.745 5.286
Mo 1.085 4.529 2.194
Mo 1.214 8.019 3.991
Mo 2.718 10.802 0.899
O -2.817 7.296 5.906
O -1.313 11.525 2.814
O -1.863 0.799 5.960
O -0.359 5.475 2.868
O 0.183 8.167 2.561
O -1.321 10.654 5.653
O 0.687 2.855 1.769
O -0.817 3.418 4.861
O 0.065 7.190 5.209
O 1.569 11.632 2.117
O 0.730 0.916 4.067
O 2.234 5.358 0.975
O 3.116 9.129 1.323
O 1.612 9.692 4.415
O 3.620 1.893 0.531
O 2.116 4.381 3.623
O 2.658 7.073 3.316
O 4.162 11.748 0.224
O 3.612 1.022 3.370
O 5.116 5.251 0.278
```

Computed properties:
theoretical density	5.50	g cm⁻³

Tell me which of them is the most stable. Sure, it is version 2.